# Ca2TlPb3

A relaxed structure of Ca2TlPb3 (PBE, the Alexandria database).

The calculation puts the calculated total energy at -38.90 eV/cell. For the density of states at the Fermi level, the calculation gives 0.563 states/eV per atom. The value obtained for the total magnetization is 0.00 μB/f.u.

It has space group P2_1/m (No. 11), with a = 6.836 Å, b = 4.999 Å, c = 10.695 Å, α = 90.00°, β = 92.71° and γ = 90.00°. Symmetry generates all atoms from Ca at (0.149, 0.250, 0.107), Ca at (0.350, 0.750, 0.601), Tl at (0.109, 0.250, 0.758), Pb at (0.144, 0.250, 0.422), Pb at (0.366, 0.750, 0.938) and Pb at (0.389, 0.750, 0.269).